# 1
Entry from Alexandria via LeMat-Bulk: a relaxed Ba2NpCrS6 crystal (PBE-GGA).

Structure (POSCAR):
```
Ba2NpCrS6
1.0
7.0889 0.0000 0.0036
0.0000 6.9459 -0.0001
0.0717 -0.0002 9.8255
Cr S Np Ba
2 12 2 4
Cartesian
3.5445 0.0000 0.0018 Cr
0.0359 3.4729 4.9127 Cr
5.3048 1.6914 9.5320 S
1.7484 5.1400 4.6166 S
1.8315 1.6669 0.2978 S
5.3291 5.2789 9.5312 S
5.4360 5.1640 5.2116 S
3.2007 0.0002 7.4610 S
6.7093 3.4726 2.5497 S
1.7247 1.7818 4.6174 S
3.9599 6.9456 2.3680 S
5.4123 1.8058 5.2124 S
1.8559 5.2544 0.2970 S
0.4513 3.4732 7.2793 S
3.5803 -0.0001 4.9146 Np
0.0000 3.4730 -0.0001 Np
3.5371 3.4589 2.4274 Ba
0.0433 6.9320 2.4872 Ba
7.1174 0.0138 7.3418 Ba
3.6236 3.4868 7.4016 Ba
```

Properties
SG ... P2_1/c (14)
Formation energy without anion corrections ... -1.44 eV/atom

---

# 2
Entry from Alexandria via LeMat-Bulk: a relaxed Ac2Ga2Cu15 crystal (PBE-GGA).

Structure (POSCAR):
```
Ac2Ga2Cu15
1.0
-4.7589 3.4049 3.2004
-5.1612 -2.3158 -3.5330
-1.7568 -4.8511 4.2265
Cu Ga Ac
15 2 2
Cartesian
-6.4044 0.4596 2.9599 Cu
-4.8705 -3.7585 3.4842 Cu
-5.2726 -4.2217 0.9339 Cu
-5.0440 -0.6495 -1.5717 Cu
-3.8845 1.0001 3.4993 Cu
-0.8784 -2.4256 2.1132 Cu
-2.7484 -4.1127 1.9663 Cu
-6.8064 -0.0036 0.4096 Cu
-2.5806 -1.1579 -1.7665 Cu
-5.0671 -1.2989 4.3741 Cu
-4.8761 1.7385 1.2391 Cu
-4.1695 -3.0543 -1.2728 Cu
-6.6099 -2.4632 -0.4803 Cu
-2.6313 -2.4463 3.9276 Cu
-2.3795 1.7024 1.6002 Cu
-1.1687 -0.3765 0.3897 Ga
-10.5082 -3.3856 3.5041 Ga
-4.0911 -1.3181 1.3642 Ac
-7.5858 -2.4440 2.5296 Ac
```

Properties
Energy of formation from the pure elements ... -182 kJ/mol of formula units
SG ... R-3m (166)

---

Number 1 is which compound? Ba2NpCrS6